[1]
The following is a GGA-PBE calculation of crystalline PmTl7 at its relaxed geometry, from Alexandria.

Uncorrected energy = -22.238 eV per formula unit
DFT formation energy = -89 kJ/mol of formula units

a b c (Å): 9.795 9.795 9.795
angles (deg): 90.00 90.00 90.00
Space group Fm-3m (No. 225)
Inequivalent atoms, fractional coordinates:
Pm1 0.000 0.000 0.000 x4
Tl1 0.000 0.000 0.500 x4
Tl2 0.000 0.250 0.250 x24


[2]
The following is a GGA-PBE calculation of crystalline PmTl3 at its relaxed geometry, from Alexandria.

Uncorrected energy = -13.080 eV per formula unit
DFT formation energy = -119 kJ/mol of formula units

a b c (Å): 4.818 4.818 4.818
angles (deg): 90.00 90.00 90.00
Space group Pm-3m (No. 221)
Inequivalent atoms, fractional coordinates:
Pm1 0.000 0.000 0.000 x1
Tl1 0.000 0.500 0.500 x3


[3]
The following is a GGA-PBE calculation of crystalline Pm3Tl5 at its relaxed geometry, from Alexandria.

Uncorrected energy = -28.983 eV per formula unit
Energy above the lowest structure with this stoichiometry = 0.00 eV/f.u.
DFT formation energy = -280 kJ/mol of formula units

a b c (Å): 10.284 8.330 10.679
angles (deg): 90.00 90.00 90.00
Space group Cmcm (No. 63)
Inequivalent atoms, fractional coordinates:
Pm1 0.000 0.118 0.250 x4
Pm2 0.204 0.500 0.000 x8
Tl1 0.000 0.195 0.540 x8
Tl2 0.000 0.495 0.750 x4
Tl3 0.219 0.209 0.750 x8


[4]
The following is a GGA-PBE calculation of crystalline PmTl2 at its relaxed geometry, from Alexandria.

Uncorrected energy = -10.282 eV per formula unit
Energy above the lowest structure with this stoichiometry = 0.05 eV/f.u.
DFT formation energy = -77 kJ/mol of formula units

a b c (Å): 5.4623 5.4623 6.6731
angles (deg): 90.00 90.00 120.00
Space group P6_3/mmc (No. 194)
Inequivalent atoms, fractional coordinates:
Pm1 0.3333 0.6667 0.2500 x2
Tl1 0.0000 0.0000 0.0000 x2
Tl2 0.3333 0.6667 0.7500 x2


[5]
The following is a GGA-PBE calculation of crystalline Pm4Tl at its relaxed geometry, from Alexandria.

Uncorrected energy = -19.430 eV per formula unit
Energy above the lowest structure with this stoichiometry = 2.50 eV/f.u.
DFT formation energy = 187 kJ/mol of formula units

a b c (Å): 5.894 5.894 5.894
angles (deg): 90.00 90.00 90.00
Space group Pm-3m (No. 221)
Inequivalent atoms, fractional coordinates:
Pm1 0.000 0.000 0.000 x1
Pm2 0.000 0.500 0.500 x3
Tl1 0.500 0.500 0.500 x1


[6]
The following is a GGA-PBE calculation of crystalline Pm3Tl5 at its relaxed geometry, from Alexandria.

Uncorrected energy = -28.703 eV per formula unit
Energy above the lowest structure with this stoichiometry = 0.28 eV/f.u.
DFT formation energy = -253 kJ/mol of formula units

a b c (Å): 9.150 9.988 5.028
angles (deg): 90.00 90.00 90.00
Space group Cmmm (No. 65)
Inequivalent atoms, fractional coordinates:
Pm1 0.000 0.000 0.000 x2
Pm2 0.000 0.280 0.500 x4
Tl1 0.000 0.500 0.000 x2
Tl2 0.228 0.000 0.500 x4
Tl3 0.250 0.250 0.000 x4


[7]
The following is a GGA-PBE calculation of crystalline Pm5Tl2 at its relaxed geometry, from Alexandria.

Uncorrected energy = -29.949 eV per formula unit
DFT formation energy = -141 kJ/mol of formula units

a b c (Å): 16.221 5.909 9.203
angles (deg): 90.00 98.26 90.00
Space group C2/c (No. 15)
Inequivalent atoms, fractional coordinates:
Pm1 0.000 0.222 0.250 x4
Pm2 0.128 0.209 0.954 x8
Pm3 0.226 0.344 0.320 x8
Tl1 0.080 0.303 0.598 x8


[8]
The following is a GGA-PBE calculation of crystalline PmTl4 at its relaxed geometry, from Alexandria.

Uncorrected energy = -15.042 eV per formula unit
Energy above the lowest structure with this stoichiometry = 0.00 eV/f.u.
DFT formation energy = -80 kJ/mol of formula units

a b c (Å): 5.120 6.743 16.777
angles (deg): 90.00 90.00 90.00
Space group Imma (No. 74)
Inequivalent atoms, fractional coordinates:
Pm1 0.000 0.250 0.088 x4
Tl1 0.000 0.000 0.500 x4
Tl2 0.000 0.010 0.303 x8
Tl3 0.000 0.250 0.888 x4